# PBE with a Hubbard U VOsRhO6, relaxed
# Electronic total energy ... -7.373 eV/atom
# Theoretical density ... 7.62 g cm⁻³
data_VOsRhO6
_chemical_formula_sum 'V2 Os2 Rh2 O12'
_cell_length_a 4.9888
_cell_length_b 4.9888
_cell_length_c 8.8948
_cell_angle_alpha 90.00
_cell_angle_beta 90.00
_cell_angle_gamma 120.00
_symmetry_space_group_name_H-M 'P -3 1 c'
_symmetry_Int_Tables_number 163
_symmetry_space_group_name_Hall '-P 3 2c'
loop_
_atom_site_label
_atom_site_type_symbol
_atom_site_fract_x
_atom_site_fract_y
_atom_site_fract_z
V1 V 0.3333 0.6667 0.2500
Os1 Os 0.3333 0.6667 0.7500
Rh1 Rh 0.0000 0.0000 0.0000
O1 O 0.0042 0.3432 0.6269